Compound: TmAlPd
Source: Alexandria
Functional: PBE
Structure: optimized geometry

Calculated values
E = -5.35 eV per atom
Spin magnetization = 0.0 μB per cell
Energy of formation from the pure elements = -0.882 eV per atom
Space group = No. 11
Calculated volume = 19.54 Å³ per atom

a b c (Å): 4.2460 6.9982 11.8392
angles (deg): 91.49 90.00 90.00
Last column: nearest neighbours and their distance in Å.
Element x y z (fractional)
Tm 0.7500 0.5307 0.3740  5 Pd 2.89-3.06, 2 Al 3.15
Tm 0.2500 0.9658 0.7102  5 Pd 2.78-2.99, 1 Al 3.08
Tm 0.7500 0.0342 0.2898  5 Pd 2.78-2.99, 1 Al 3.08
Tm 0.7500 0.6550 0.0823  5 Pd 2.91-3.06, 3 Al 3.16-3.20
Tm 0.2500 0.4693 0.6260  5 Pd 2.89-3.06, 2 Al 3.15
Tm 0.2500 0.3450 0.9177  5 Pd 2.91-3.06, 3 Al 3.16-3.20
Al 0.2500 0.9977 0.0831  4 Pd 2.58-2.69, 3 Al 2.88-2.89
Al 0.2500 0.8543 0.4573  4 Pd 2.62-2.67
Al 0.7500 0.6382 0.7972  4 Pd 2.65-2.80, 1 Al 2.88
Al 0.7500 0.1457 0.5427  4 Pd 2.62-2.67
Al 0.2500 0.3618 0.2028  4 Pd 2.65-2.80, 1 Al 2.88
Al 0.7500 0.0023 0.9169  4 Pd 2.58-2.69, 3 Al 2.88-2.89
Pd 0.2500 0.7656 0.9096  5 Al 2.58-2.69, 1 Tm 2.78
Pd 0.7500 0.2578 0.7559  3 Al 2.62-2.69, 2 Tm 2.91
Pd 0.7500 0.7701 0.5762  4 Al 2.62-2.80, 1 Tm 2.89
Pd 0.7500 0.2344 0.0904  5 Al 2.58-2.69, 1 Tm 2.78
Pd 0.2500 0.2299 0.4238  4 Al 2.62-2.80, 1 Tm 2.89
Pd 0.2500 0.7422 0.2441  3 Al 2.62-2.69, 2 Tm 2.91